Computed, not measured: a relaxed structure of SrRhAu2N at the GGA-PBEsol level of DFT.

Geometry as CIF:
```
data_SrRhAu2N
_cell_length_a 4.9375
_cell_length_b 4.9375
_cell_length_c 5.5293
_cell_angle_alpha 90.00
_cell_angle_beta 90.00
_cell_angle_gamma 90.00
_space_group_name_H-M_alt 'P 1'
_space_group_IT_number 1
loop_
_space_group_symop_operation_xyz
'x,y,z'
loop_
_atom_site_label
_atom_site_type_symbol
_atom_site_fract_x
_atom_site_fract_y
_atom_site_fract_z
Sr1 Sr 0.0000 0.0000 0.0000
Rh1 Rh 0.0000 0.0000 0.5000
Au1 Au 0.0000 0.5000 0.5000
Au2 Au 0.5000 0.0000 0.5000
N1 N 0.5000 0.5000 0.0000
```

For the raw formation energy, the calculation gives 123.8 kJ per mole of atoms. Its volume is 134.8 Å³/f.u.